Entry from the Alexandria database: a PBEsol-optimized structure of Rb2ZrBiO (SCAN).

It has space group P4/mmm (No. 123), with a = 7.089 Å, b = 7.089 Å, c = 5.565 Å, α = 90.00°, β = 90.00° and γ = 90.00°. The distinct sites, in fractional coordinates, are Rb at (0.000, 0.500, 0.000), Zr at (0.000, 0.000, 0.500), Bi at (0.000, 0.000, 0.000) and O at (0.500, 0.500, 0.500).

The calculation puts the uncorrected formation energy at 41 kJ per mole of atoms.